BaTi3I after structural relaxation. Source: the Alexandria database, functional PBE.

Output
Offset from the most stable computed form (meV/atom): 0
Raw formation energy (eV per atom): 0.869
Electronic total energy (eV/f.u.): -22.81

CIF file:
```
data_BaTi3I
_space_group_name_H-M_alt 'P m -3 m'
_space_group_IT_number 221
_space_group_name_Hall '-P 4 2 3'
_cell_length_a 5.200
_cell_length_b 5.200
_cell_length_c 5.200
_cell_angle_alpha 90.00
_cell_angle_beta 90.00
_cell_angle_gamma 90.00
loop_
_atom_site_label
_atom_site_type_symbol
_atom_site_fract_x
_atom_site_fract_y
_atom_site_fract_z
Ba1 Ba 0.000 0.000 0.000
Ti1 Ti 0.000 0.500 0.500
I1 I 0.500 0.500 0.500
```